# 1
Compound: P2AuSN
Source: Alexandria
Functional: PBE
Structure: optimized geometry

The calculation puts the uncorrected formation energy at 1.081 eV per atom. Its space group is P4/mmm (123). As for the volume: 14.5 Å³/atom. The value obtained for the total energy is -21.1 eV for the cell shown. As for the polymorph energy (0 for the lowest one): 0 meV per atom.

abc: 4.119 4.119 4.263
angles: 90.00 90.00 90.00
Fractional coordinates of all 5 atoms:
P (0.000, 0.500, 0.000)
P (0.500, 0.000, 0.000)
Au (0.000, 0.000, 0.500)
S (0.500, 0.500, 0.500)
N (0.500, 0.500, 0.000)

# 2
Compound: YCu2Sb
Source: Alexandria
Functional: PBE
Structure: optimized geometry

The calculation puts the uncorrected formation energy at -0.293 eV per atom. Its space group is Pmmm (47). As for the volume: 21.1 Å³/atom. The value obtained for the total energy is -20.0 eV for the cell shown.

abc: 3.681 4.419 5.187
angles: 90.00 90.00 90.00
Fractional coordinates of all 4 atoms:
Y (0.000, 0.000, 0.000)
Cu (0.500, 0.500, 0.232)
Cu (0.500, 0.500, 0.768)
Sb (0.500, 0.000, 0.500)